[1]
Entry from the Alexandria database: an optimized crystal structure of CaPrGaHg (GGA-PBE).

```
CaPrGaHg
1.0
7.5480 0.0000 0.0000
0.0000 7.5480 0.0000
0.0000 0.0000 7.5480
Ca Pr Ga Hg
4 4 4 4
direct
0.0000 0.0000 0.0000 Ca
0.0000 0.5000 0.5000 Ca
0.5000 0.0000 0.5000 Ca
0.5000 0.5000 0.0000 Ca
0.0000 0.0000 0.5000 Pr
0.0000 0.5000 0.0000 Pr
0.5000 0.0000 0.0000 Pr
0.5000 0.5000 0.5000 Pr
0.2500 0.2500 0.7500 Ga
0.2500 0.7500 0.2500 Ga
0.7500 0.2500 0.2500 Ga
0.7500 0.7500 0.7500 Ga
0.2500 0.2500 0.2500 Hg
0.2500 0.7500 0.7500 Hg
0.7500 0.2500 0.7500 Hg
0.7500 0.7500 0.2500 Hg
```

Values from the calculation:
* SG: F-43m, No. 216
* magnetic moment: 0.00 μB/cell
* crystal system: cubic
* electronic total energy: -48.90 eV per cell

=====

[2]
Entry from the Alexandria database: an optimized crystal structure of Ca2GaHgPt (GGA-PBE).

```
Ca2GaHgPt
1.0
5.5806 0.0000 0.0000
0.0000 5.5806 0.0000
0.0000 0.0000 4.7686
Ca Ga Hg Pt
2 1 1 1
direct
0.0000 0.5000 0.0000 Ca
0.5000 0.0000 0.0000 Ca
0.0000 0.0000 0.5000 Ga
0.5000 0.5000 0.5000 Hg
0.0000 0.0000 0.0000 Pt
```

Values from the calculation:
* SG: P4/mmm, No. 123
* magnetic moment: 0.00 μB/cell
* crystal system: tetragonal
* electronic total energy: -16.25 eV per cell

=====

[3]
Entry from the Alexandria database: an optimized crystal structure of CaPuGaHg (GGA-PBE).

```
CaPuGaHg
1.0
7.4319 0.0000 0.0000
0.0000 7.4319 0.0000
0.0000 0.0000 7.4319
Ca Pu Ga Hg
4 4 4 4
direct
0.0000 0.0000 0.0000 Ca
0.0000 0.5000 0.5000 Ca
0.5000 0.0000 0.5000 Ca
0.5000 0.5000 0.0000 Ca
0.0000 0.0000 0.5000 Pu
0.0000 0.5000 0.0000 Pu
0.5000 0.0000 0.0000 Pu
0.5000 0.5000 0.5000 Pu
0.2500 0.2500 0.2500 Ga
0.2500 0.7500 0.7500 Ga
0.7500 0.2500 0.7500 Ga
0.7500 0.7500 0.2500 Ga
0.2500 0.2500 0.7500 Hg
0.2500 0.7500 0.2500 Hg
0.7500 0.2500 0.2500 Hg
0.7500 0.7500 0.7500 Hg
```

Values from the calculation:
* SG: F-43m, No. 216
* magnetic moment: 22.29 μB/cell
* crystal system: cubic
* electronic total energy: -83.50 eV per cell

=====

> Look up the magnetic moment of the third one.

22.29 μB/cell

=====

> electronic total energy of number 2 (Ca2GaHgPt)?

-16.25 eV per cell